Material: Pm2ScAu
Method: DFT, PBE
State: relaxed

Cell: 3.462 3.462 11.446 Å, 81.30 81.30 60.00°
Fractional coordinates of all 4 atoms:
Sc: 0.500 0.500 0.500
Au: 0.000 0.000 0.000
Pm: 0.915 0.915 0.256
Pm: 0.085 0.085 0.744

Properties
ΔE_f (kJ/mol of atoms): 15.4
Symmetry: R-3m (166)
VASP energy (eV/atom): -4.618
Polymorph energy (0 for the lowest one) (meV per atom): 496